[1]
! Al2PPt, relaxed, DFT PBE-GGA; values from VASP
! Final energy ... -20.12 eV for the cell shown
! ΔE_f ... -0.296 eV/atom
! DOS(E_F) ... 0.326 states/eV per atom
! Symmetry ... No. 12
&SYSTEM
  ibrav = 0, nat = 4, ntyp = 3
/
ATOMIC_SPECIES
Al 26.98 Al.upf
Pt 195.08 Pt.upf
P 30.97 P.upf
CELL_PARAMETERS angstrom
4.329 -0.003 -0.016
2.967 3.153 -0.016
1.265 0.546 4.564
ATOMIC_POSITIONS angstrom
Al 7.304 3.153 0.005
Al 4.272 1.844 2.230
Pt 2.140 0.924 1.133
P 6.421 2.772 3.400



[2]
! Na17Tl11Zn, relaxed, DFT PBE-GGA; values from VASP
! Final energy ... -52.31 eV for the cell shown
! ΔE_f ... -0.089 eV/atom
! DOS(E_F) ... 0.484 states/eV per atom
! Symmetry ... No. 8
&SYSTEM
  ibrav = 0, nat = 29, ntyp = 3
/
ATOMIC_SPECIES
Na 22.99 Na.upf
Tl 204.38 Tl.upf
Zn 65.41 Zn.upf
CELL_PARAMETERS angstrom
9.780 -0.064 -3.427
-4.880 8.476 -3.427
-0.008 -0.014 10.284
ATOMIC_POSITIONS angstrom
Na 4.230 2.572 -3.030
Na 2.010 3.450 4.587
Na 5.388 2.290 3.768
Na 2.998 0.010 4.983
Na 0.151 4.949 -3.030
Na -1.580 8.416 5.688
Na 5.761 -0.022 1.147
Na 8.100 2.777 5.688
Na -0.666 5.817 3.768
Na -2.861 5.000 1.147
Na 5.022 3.475 0.334
Na 4.871 8.362 -3.363
Na 3.326 5.710 -1.830
Na -1.470 2.612 4.983
Na 0.545 6.083 0.334
Na 4.887 8.389 3.434
Na 3.237 5.557 2.280
Tl 0.991 1.700 7.186
Tl 1.165 8.417 2.782
Tl 7.951 -0.034 3.585
Tl -2.069 6.903 -1.476
Tl 0.048 3.245 1.839
Tl -3.951 6.899 3.585
Tl 7.026 1.606 -1.476
Tl 6.747 5.165 2.782
Tl 2.080 6.788 5.403
Tl 4.878 5.157 5.403
Tl 2.799 1.643 1.839
Zn 1.753 3.010 -0.593



Question: Which formula does entry 2 have?
Answer: Na17Tl11Zn



Question: What is the DOS(E_F) in the first record?
Answer: 0.326 states/eV per atom